{"formula": "MgTaCuPd", "functional": "PBE-GGA", "state": "relaxed", "magnetic_moment_mub_per_fu": 0.004, "relative_energy_mev_per_atom": 273.6, "lattice": [[0.000, 3.128, 3.128], [3.128, 0.000, 3.128], [3.128, 3.128, 0.000]], "species": ["Mg", "Ta", "Cu", "Pd"], "fractional_positions": [[0.000, 0.000, 0.000], [0.750, 0.750, 0.750], [0.500, 0.500, 0.500], [0.250, 0.250, 0.250]]}

=====

{"formula": "Hf2B6Os", "functional": "PBE-GGA", "state": "relaxed", "magnetic_moment_mub_per_fu": 0.000, "lattice": [[8.960, 0.000, 0.000], [0.000, 11.197, 0.000], [0.000, 0.000, 3.458]], "species": ["Hf", "Hf", "Hf", "Hf", "Hf", "Hf", "Hf", "Hf", "B", "B", "B", "B", "B", "B", "B", "B", "B", "B", "B", "B", "B", "B", "B", "B", "B", "B", "B", "B", "B", "B", "B", "B", "Os", "Os", "Os", "Os"], "fractional_positions": [[0.056, 0.127, 0.000], [0.178, 0.412, 0.000], [0.322, 0.912, 0.000], [0.444, 0.627, 0.000], [0.556, 0.373, 0.000], [0.678, 0.088, 0.000], [0.822, 0.588, 0.000], [0.944, 0.873, 0.000], [0.022, 0.288, 0.500], [0.052, 0.563, 0.500], [0.106, 0.971, 0.500], [0.132, 0.818, 0.500], [0.203, 0.238, 0.500], [0.248, 0.077, 0.500], [0.252, 0.577, 0.500], [0.297, 0.738, 0.500], [0.368, 0.318, 0.500], [0.394, 0.471, 0.500], [0.448, 0.063, 0.500], [0.478, 0.788, 0.500], [0.522, 0.212, 0.500], [0.552, 0.937, 0.500], [0.606, 0.529, 0.500], [0.632, 0.682, 0.500], [0.703, 0.262, 0.500], [0.748, 0.423, 0.500], [0.752, 0.923, 0.500], [0.797, 0.762, 0.500], [0.868, 0.182, 0.500], [0.894, 0.029, 0.500], [0.948, 0.437, 0.500], [0.978, 0.712, 0.500], [0.141, 0.679, 0.000], [0.359, 0.179, 0.000], [0.641, 0.821, 0.000], [0.859, 0.321, 0.000]]}

=====

{"formula": "CuH4C6IN2", "functional": "PBE-GGA", "state": "relaxed", "relative_energy_mev_per_atom": 0.0, "lattice": [[4.069, 0.000, 0.000], [-0.863, 7.486, 0.000], [-1.092, -1.574, 12.253]], "species": ["Cu", "Cu", "H", "H", "H", "H", "H", "H", "H", "H", "C", "C", "C", "C", "C", "C", "C", "C", "C", "C", "C", "C", "I", "I", "N", "N", "N", "N"], "fractional_positions": [[0.229, 0.408, 0.040], [0.771, 0.592, 0.960], [0.014, 0.903, 0.840], [0.216, 0.500, 0.573], [0.378, 0.426, 0.758], [0.473, 0.795, 0.518], [0.527, 0.205, 0.482], [0.622, 0.574, 0.242], [0.784, 0.500, 0.427], [0.986, 0.097, 0.160], [0.087, 0.964, 0.352], [0.163, 0.182, 0.221], [0.240, 0.130, 0.324], [0.394, 0.595, 0.628], [0.466, 0.243, 0.402], [0.482, 0.552, 0.732], [0.518, 0.448, 0.268], [0.534, 0.757, 0.598], [0.606, 0.405, 0.372], [0.760, 0.870, 0.676], [0.837, 0.818, 0.779], [0.913, 0.036, 0.648], [0.328, 0.763, 0.063], [0.672, 0.237, 0.937], [0.035, 0.170, 0.621], [0.299, 0.339, 0.194], [0.701, 0.661, 0.806], [0.965, 0.830, 0.379]]}

=====

{"formula": "BaTm2Te4", "functional": "PBE-GGA", "state": "relaxed", "magnetic_moment_mub_per_fu": 0.000, "lattice": [[13.717, 0.000, 0.000], [0.000, 4.446, 0.000], [0.000, 0.000, 16.161]], "species": ["Ba", "Ba", "Ba", "Ba", "Tm", "Tm", "Tm", "Tm", "Tm", "Tm", "Tm", "Tm", "Te", "Te", "Te", "Te", "Te", "Te", "Te", "Te", "Te", "Te", "Te", "Te", "Te", "Te", "Te", "Te"], "fractional_positions": [[0.238, 0.250, 0.170], [0.262, 0.750, 0.670], [0.738, 0.250, 0.330], [0.762, 0.750, 0.830], [0.058, 0.250, 0.390], [0.081, 0.250, 0.904], [0.419, 0.750, 0.404], [0.442, 0.750, 0.890], [0.558, 0.250, 0.110], [0.581, 0.250, 0.596], [0.919, 0.750, 0.096], [0.942, 0.750, 0.610], [0.028, 0.750, 0.784], [0.090, 0.250, 0.576], [0.126, 0.750, 0.028], [0.204, 0.750, 0.342], [0.296, 0.250, 0.842], [0.374, 0.250, 0.528], [0.410, 0.750, 0.076], [0.472, 0.250, 0.284], [0.528, 0.750, 0.716], [0.590, 0.250, 0.924], [0.626, 0.750, 0.472], [0.704, 0.750, 0.158], [0.796, 0.250, 0.658], [0.874, 0.250, 0.972], [0.910, 0.750, 0.424], [0.972, 0.250, 0.216]]}

=====

{"formula": "Re3N4", "functional": "PBE-GGA", "state": "relaxed", "magnetic_moment_mub_per_fu": 0.005, "relative_energy_mev_per_atom": 492.4, "lattice": [[1.695, 0.978, 6.878], [-1.695, 0.978, 6.878], [0.000, -1.957, 6.878]], "species": ["Re", "Re", "Re", "N", "N", "N", "N"], "fractional_positions": [[0.000, 0.000, 0.000], [0.235, 0.235, 0.235], [0.765, 0.765, 0.765], [0.133, 0.133, 0.133], [0.377, 0.377, 0.377], [0.623, 0.623, 0.623], [0.867, 0.867, 0.867]]}

=====

{"formula": "DyZnNO", "functional": "PBE-GGA", "state": "relaxed", "magnetic_moment_mub_per_fu": 0.002, "relative_energy_mev_per_atom": 72.4, "lattice": [[3.590, 0.000, 0.000], [0.000, 5.859, 0.000], [0.000, 0.000, 5.666]], "species": ["Dy", "Dy", "Zn", "Zn", "N", "N", "O", "O"], "fractional_positions": [[0.000, 0.199, 0.000], [0.000, 0.801, 0.500], [0.500, 0.342, 0.501], [0.500, 0.658, 0.001], [0.500, 0.355, 0.845], [0.500, 0.645, 0.345], [0.000, 0.160, 0.390], [0.000, 0.840, 0.890]]}

=====

Energy, record by record: -5.449 -8.593 -6.422 -4.866 -9.436 -6.322 eV per atom